Record 1
{
  "formula": "HoThPd4",
  "functional": "GGA-PBE",
  "state": "optimized geometry",
  "cell": [[4.124, 0.000, -0.846], [0.000, 5.823, 0.000], [-0.054, 0.000, 10.217]],
  "species": ["Ho", "Ho", "Th", "Pd", "Pd", "Pd", "Pd", "Pd", "Pd", "Pd", "Pd", "Th"],
  "fractional_positions": [[0.275, 0.750, 0.550], [0.725, 0.250, 0.450], [0.420, 0.250, 0.839], [0.000, 0.000, 0.000], [0.000, 0.500, 0.000], [0.149, 0.488, 0.297], [0.851, 0.988, 0.703], [0.149, 0.012, 0.297], [0.573, 0.250, 0.146], [0.851, 0.512, 0.703], [0.427, 0.750, 0.854], [0.580, 0.750, 0.161]],
  "e_above_lowest_polymorph_mev_per_atom": 0,
  "formation_enthalpy_0k_ev_per_atom": -0.9045
}

=====

Record 2
{
  "formula": "CaMnCo",
  "functional": "GGA-PBE",
  "state": "optimized geometry",
  "cell": [[-3.347, -0.713, -2.004], [0.980, -5.253, 0.232], [-0.964, 0.064, 5.514]],
  "species": ["Ca", "Co", "Ca", "Mn", "Mn", "Co"],
  "fractional_positions": [[0.024, 0.395, 0.033], [0.288, 0.395, 0.560], [0.453, 0.895, 0.890], [0.739, 0.645, 0.461], [0.739, 0.145, 0.461], [0.189, 0.895, 0.363]],
  "e_above_lowest_polymorph_mev_per_atom": 0,
  "formation_enthalpy_0k_ev_per_atom": 0.1953
}

=====

Record 3
{
  "formula": "CuP3S",
  "functional": "GGA-PBE",
  "state": "optimized geometry",
  "cell": [[4.468, 0.000, 0.000], [0.000, 4.468, 0.000], [0.000, 0.000, 4.468]],
  "species": ["P", "P", "S", "Cu", "P"],
  "fractional_positions": [[0.000, 0.000, 0.500], [0.500, 0.000, 0.000], [0.500, 0.500, 0.500], [0.000, 0.000, 0.000], [0.000, 0.500, 0.000]],
  "e_above_lowest_polymorph_mev_per_atom": 0,
  "raw_formation_energy_ev_per_atom": 1.0909
}

=====

Record 4
{
  "formula": "Ga2AgIr",
  "functional": "GGA-PBE",
  "state": "optimized geometry",
  "cell": [[-3.178, -3.081, 0.440], [-1.217, -1.378, 4.051], [-3.982, 1.129, 1.631]],
  "species": ["Ag", "Ga", "Ir", "Ga"],
  "fractional_positions": [[0.000, 0.000, 0.000], [0.250, 0.250, 0.250], [0.500, 0.500, 0.500], [0.750, 0.750, 0.750]],
  "e_above_lowest_polymorph_mev_per_atom": 46,
  "formation_enthalpy_0k_ev_per_atom": -0.0979
}

=====

Record 5
{
  "formula": "BaPa3Pt4S12",
  "functional": "GGA-PBE",
  "state": "optimized geometry",
  "cell": [[-6.741, -1.153, 5.076], [-3.120, -1.430, -7.794], [4.810, -6.866, 1.501]],
  "species": ["Pa", "Ba", "S", "S", "S", "S", "S", "Pt", "S", "S", "S", "S", "S", "S", "S", "Pt", "Pa", "Pt", "Pt", "Pa"],
  "fractional_positions": [[0.000, 0.565, 0.435], [0.000, 0.000, 0.000], [0.652, 0.750, 0.999], [0.999, 0.652, 0.750], [0.090, 0.910, 0.500], [0.348, 0.001, 0.250], [0.910, 0.500, 0.090], [0.078, 0.500, 0.922], [0.250, 0.348, 0.001], [0.001, 0.250, 0.348], [0.332, 0.668, 0.500], [0.500, 0.090, 0.910], [0.750, 0.999, 0.652], [0.668, 0.500, 0.332], [0.500, 0.332, 0.668], [0.500, 0.500, 0.500], [0.435, 0.000, 0.565], [0.922, 0.078, 0.500], [0.500, 0.922, 0.078], [0.565, 0.435, 0.000]],
  "raw_formation_energy_ev_per_atom": -0.8182
}

=====

Record 6
{
  "formula": "Pm4MgSn",
  "functional": "GGA-PBE",
  "state": "optimized geometry",
  "cell": [[-2.385, -0.467, -4.904], [5.850, -1.978, -2.656], [-1.414, -10.559, 4.748]],
  "species": ["Pm", "Pm", "Sn", "Mg", "Mg", "Pm", "Pm", "Sn", "Pm", "Pm", "Pm", "Pm"],
  "fractional_positions": [[0.293, 0.578, 0.587], [0.707, 0.566, 0.413], [0.842, 0.822, 0.684], [0.570, 0.823, 0.140], [0.430, 0.323, 0.860], [0.428, 0.822, 0.857], [0.572, 0.322, 0.143], [0.158, 0.322, 0.316], [0.707, 0.078, 0.413], [0.293, 0.066, 0.587], [0.862, 0.322, 0.724], [0.138, 0.822, 0.276]],
  "formation_enthalpy_0k_ev_per_atom": -0.0430
}

=====

Record 7
{
  "formula": "RbLiHgSe2",
  "functional": "GGA-PBE",
  "state": "optimized geometry",
  "cell": [[6.403, 0.000, 0.000], [0.000, 6.360, 0.000], [0.000, -3.180, 7.354]],
  "species": ["Hg", "Li", "Rb", "Hg", "Se", "Li", "Rb", "Se", "Se", "Se"],
  "fractional_positions": [[0.000, 0.500, 0.000], [0.500, 0.750, 0.000], [0.771, 0.250, 0.500], [0.000, 0.000, 0.000], [0.713, 0.887, 0.774], [0.500, 0.250, 0.000], [0.229, 0.750, 0.500], [0.287, 0.387, 0.774], [0.713, 0.613, 0.226], [0.287, 0.113, 0.226]],
  "raw_formation_energy_ev_per_atom": -0.8559
}

=====

Record 8
{
  "formula": "Cs2PmCl5",
  "functional": "GGA-PBE",
  "state": "optimized geometry",
  "cell": [[-5.992, -6.339, 0.188], [2.197, -1.820, 8.653], [-9.611, 9.215, 4.379]],
  "species": ["Cs", "Cl", "Cl", "Pm", "Cl", "Cl", "Cs", "Cs", "Cl", "Cl", "Cl", "Cs", "Cl", "Pm", "Cs", "Cl", "Cl", "Cs", "Pm", "Pm", "Cl", "Cl", "Cl", "Cl", "Cl", "Cs", "Cl", "Cs", "Cl", "Cl", "Cl", "Cl"],
  "fractional_positions": [[0.934, 0.493, 0.670], [0.343, 0.543, 0.562], [0.657, 0.457, 0.438], [0.435, 0.250, 0.504], [0.882, 0.750, 0.484], [0.361, 0.250, 0.314], [0.566, 0.493, 0.170], [0.566, 0.007, 0.170], [0.157, 0.543, 0.062], [0.599, 0.250, 0.672], [0.843, 0.043, 0.938], [0.434, 0.993, 0.830], [0.401, 0.750, 0.328], [0.065, 0.250, 0.004], [0.934, 0.007, 0.670], [0.382, 0.250, 0.016], [0.901, 0.250, 0.172], [0.066, 0.993, 0.330], [0.565, 0.750, 0.496], [0.935, 0.750, 0.996], [0.618, 0.750, 0.984], [0.657, 0.043, 0.438], [0.843, 0.457, 0.938], [0.343, 0.957, 0.562], [0.139, 0.250, 0.814], [0.066, 0.507, 0.330], [0.157, 0.957, 0.062], [0.434, 0.507, 0.830], [0.118, 0.250, 0.516], [0.639, 0.750, 0.686], [0.099, 0.750, 0.828], [0.861, 0.750, 0.186]],
  "raw_formation_energy_ev_per_atom": -2.1920
}

=====

Record 9
{
  "formula": "Nb3TlBr",
  "functional": "GGA-PBE",
  "state": "optimized geometry",
  "cell": [[-0.941, 1.916, -4.747], [1.312, -4.575, -2.107], [-4.948, -1.578, 0.344]],
  "species": ["Nb", "Tl", "Nb", "Nb", "Br"],
  "fractional_positions": [[0.000, 0.000, 0.500], [0.000, 0.000, 0.000], [0.000, 0.500, 0.000], [0.500, 0.000, 0.000], [0.500, 0.500, 0.500]],
  "e_above_lowest_polymorph_mev_per_atom": 1098,
  "raw_formation_energy_ev_per_atom": 2.1417
}

=====

Record 10
{
  "formula": "Li3Al2Ga2Ag4",
  "functional": "GGA-PBE",
  "state": "optimized geometry",
  "cell": [[-0.719, -0.147, -4.453], [-1.886, -3.091, 2.694], [-8.422, 6.146, 1.157]],
  "species": ["Al", "Ga", "Ag", "Al", "Li", "Li", "Ag", "Ag", "Ga", "Ag", "Li"],
  "fractional_positions": [[0.333, 0.667, 0.570], [0.667, 0.333, 0.924], [0.667, 0.333, 0.177], [0.667, 0.333, 0.430], [0.000, 0.000, 0.282], [0.000, 0.000, 0.000], [0.333, 0.667, 0.823], [0.667, 0.333, 0.673], [0.333, 0.667, 0.076], [0.333, 0.667, 0.327], [0.000, 0.000, 0.718]],
  "formation_enthalpy_0k_ev_per_atom": -0.2057
}

=====

Record 11
{
  "formula": "PaNbTc2N6",
  "functional": "GGA-PBE",
  "state": "optimized geometry",
  "cell": [[5.450, 0.079, -0.020], [2.794, 4.713, -0.125], [2.730, 1.483, 4.708]],
  "species": ["Nb", "N", "N", "Pa", "N", "Tc", "N", "N", "N", "Tc"],
  "fractional_positions": [[0.313, 0.266, 0.097], [0.334, 0.775, 0.708], [0.729, 0.139, 0.759], [0.799, 0.820, 0.572], [0.611, 0.243, 0.239], [0.047, 0.035, 0.925], [0.155, 0.377, 0.746], [0.244, 0.897, 0.232], [0.920, 0.593, 0.257], [0.510, 0.517, 0.480]],
  "raw_formation_energy_ev_per_atom": -0.5311
}

=====

Record 12
{
  "formula": "BaSiRh2",
  "functional": "GGA-PBE",
  "state": "optimized geometry",
  "cell": [[5.694, 0.023, 0.000], [2.912, 4.893, 0.000], [-4.303, -2.458, 2.804]],
  "species": ["Ba", "Rh", "Rh", "Si"],
  "fractional_positions": [[0.750, 0.250, 0.500], [0.250, 0.750, 0.500], [0.000, 0.000, 0.000], [0.500, 0.500, 0.000]],
  "raw_formation_energy_ev_per_atom": 0.2759
}

=====

Record 13
{
  "formula": "NbSn2C",
  "functional": "GGA-PBE",
  "state": "optimized geometry",
  "cell": [[-0.391, -1.411, -6.764], [-5.657, -3.826, 1.125], [-4.786, -0.136, -3.235]],
  "species": ["Nb", "C", "C", "Sn", "Sn", "Sn", "Sn", "Nb"],
  "fractional_positions": [[0.000, 0.000, 0.000], [0.250, 0.750, 0.500], [0.500, 0.500, 0.000], [0.375, 0.448, 0.750], [0.875, 0.802, 0.750], [0.198, 0.625, 0.250], [0.552, 0.125, 0.250], [0.750, 0.250, 0.500]],
  "formation_enthalpy_0k_ev_per_atom": 0.9419
}

=====

Record 14
{
  "formula": "SrAs2IrSe",
  "functional": "GGA-PBE",
  "state": "optimized geometry",
  "cell": [[4.645, 0.000, 0.000], [0.000, 6.440, 0.000], [0.000, 0.000, 4.645]],
  "species": ["As", "Ir", "Sr", "Se", "As"],
  "fractional_positions": [[0.000, 0.000, 0.500], [0.000, 0.000, 0.000], [0.000, 0.500, 0.000], [0.500, 0.500, 0.500], [0.500, 0.000, 0.000]],
  "e_above_lowest_polymorph_mev_per_atom": 0,
  "raw_formation_energy_ev_per_atom": -0.3071
}

=====

Record 15
{
  "formula": "Cu3Br",
  "functional": "GGA-PBE",
  "state": "optimized geometry",
  "cell": [[-2.336, 3.957, 3.901], [-1.925, 0.676, 5.672], [1.038, 2.920, 5.170]],
  "species": ["Cu", "Br", "Cu", "Cu"],
  "fractional_positions": [[0.227, 0.227, 0.227], [0.000, 0.000, 0.000], [0.500, 0.500, 0.500], [0.773, 0.773, 0.773]],
  "e_above_lowest_polymorph_mev_per_atom": 179,
  "raw_formation_energy_ev_per_atom": 0.2815
}

=====

Record 16
{
  "formula": "Pr3HoRu",
  "functional": "GGA-PBE",
  "state": "optimized geometry",
  "cell": [[5.561, 0.000, 0.000], [0.000, 5.561, 0.000], [0.000, 0.000, 5.561]],
  "species": ["Ru", "Pr", "Ho", "Pr", "Pr"],
  "fractional_positions": [[0.000, 0.000, 0.000], [0.000, 0.500, 0.000], [0.500, 0.500, 0.500], [0.500, 0.000, 0.000], [0.000, 0.000, 0.500]],
  "formation_enthalpy_0k_ev_per_atom": 0.0758
}

=====

Record 17
{
  "formula": "Pa2Bi2AuN2",
  "functional": "GGA-PBE",
  "state": "optimized geometry",
  "cell": [[-1.263, -3.606, -0.244], [3.228, 0.773, 1.908], [-7.093, 1.719, 11.302]],
  "species": ["Au", "N", "Bi", "Bi", "Pa", "Pa", "N"],
  "fractional_positions": [[0.000, 0.000, 0.000], [0.667, 0.333, 0.564], [0.000, 0.000, 0.799], [0.000, 0.000, 0.201], [0.667, 0.333, 0.394], [0.333, 0.667, 0.606], [0.333, 0.667, 0.436]],
  "raw_formation_energy_ev_per_atom": -0.7892
}

=====

Record 18
{
  "formula": "BeIn2Os",
  "functional": "GGA-PBE",
  "state": "optimized geometry",
  "cell": [[-0.503, -1.040, -4.416], [0.931, -4.220, -1.471], [-3.390, -2.755, -1.324]],
  "species": ["Os", "In", "Be", "In"],
  "fractional_positions": [[0.750, 0.750, 0.750], [0.000, 0.000, 0.000], [0.500, 0.500, 0.500], [0.250, 0.250, 0.250]],
  "formation_enthalpy_0k_ev_per_atom": 0.7158
}

=====

Record 19
{
  "formula": "Mn4Pd7Pt",
  "functional": "GGA-PBE",
  "state": "optimized geometry",
  "cell": [[5.050, 1.512, 1.643], [4.327, 7.585, 2.549], [0.636, 1.026, 6.112]],
  "species": ["Pd", "Pd", "Pt", "Pd", "Mn", "Mn", "Mn", "Pd", "Pd", "Mn", "Pd", "Pd"],
  "fractional_positions": [[0.990, 0.339, 0.665], [0.010, 0.661, 0.335], [0.000, 0.000, 0.000], [0.760, 0.349, 0.165], [0.479, 0.684, 0.340], [0.725, 0.680, 0.816], [0.521, 0.316, 0.660], [0.240, 0.651, 0.835], [0.500, 0.000, 0.000], [0.275, 0.320, 0.184], [0.250, 0.999, 0.501], [0.750, 0.001, 0.499]],
  "formation_enthalpy_0k_ev_per_atom": -0.2037
}

=====

Record 20
{
  "formula": "TcSeSN2",
  "functional": "GGA-PBE",
  "state": "optimized geometry",
  "cell": [[-0.192, 0.203, 3.763], [2.645, -2.677, 0.280], [3.975, 3.927, -0.009]],
  "species": ["Se", "N", "Tc", "S", "N"],
  "fractional_positions": [[0.000, 0.000, 0.500], [0.000, 0.500, 0.000], [0.000, 0.000, 0.000], [0.500, 0.500, 0.500], [0.500, 0.000, 0.000]],
  "e_above_lowest_polymorph_mev_per_atom": 0,
  "raw_formation_energy_ev_per_atom": 0.7275
}

=====

no.,DFT total energy (eV for the cell shown)
1,-76.39
2,-35.38
3,-19.00
4,-18.16
5,-120.47
6,-49.72
7,-28.86
8,-132.91
9,-23.54
10,-32.95
11,-95.56
12,-20.94
13,-47.06
14,-24.86
15,-12.84
16,-27.81
17,-52.21
18,-17.57
19,-81.51
20,-30.99